[1]
Computed, not measured: crystalline Pr2TlPd at its relaxed geometry at the PBE-GGA level of DFT.

Results
Energy of formation   -2.18 eV/f.u.
Crystal system   tetragonal

abc: 3.706 3.706 7.959
angles: 90.00 90.00 90.00
Element x y z (fractional)
Pr (0.000, 0.000, 0.223)
Pr (0.000, 0.000, 0.777)
Tl (0.500, 0.500, 0.500)
Pd (0.500, 0.500, 0.000)



[2]
Computed, not measured: crystalline Na2AlCdO4 at its relaxed geometry at the PBE-GGA level of DFT.

Results
Crystal system   monoclinic
Energy relative to the elements, uncorrected   -1.688 eV/atom

abc: 5.524 3.098 5.752
angles: 90.00 108.47 90.00
Element x y z (fractional)
Na (0.000, 0.000, 0.000)
Na (0.500, 0.500, 0.000)
Al (0.000, 0.500, 0.500)
Cd (0.500, 0.000, 0.500)
O (0.205, 0.000, 0.698)
O (0.213, 0.500, 0.295)
O (0.787, 0.500, 0.705)
O (0.795, 0.000, 0.302)



no.,theoretical density (g/cm3)
1,9.0
2,4.4